Here is crystalline Ca2TlSe at its relaxed geometry from Alexandria via LeMat-Bulk. Energies are from PBE-GGA.

a b c (Å): 9.645 9.645 9.645
angles (deg): 24.90 24.90 24.90
Fractional coordinates of all 4 atoms:
Ca1 0.000 0.000 0.000
Ca2 0.218 0.218 0.218
Tl1 0.755 0.755 0.755
Se1 0.499 0.499 0.499

Summary:
E above lowest polymorph: 0.5038 eV/atom
Formation energy from raw total energies: -2.38 eV/f.u.
DOS at the Fermi energy: 2.68 states/eV/f.u.

=====

Here is crystalline Zn7Cu4Pt at its relaxed geometry from Alexandria via LeMat-Bulk. Energies are from PBE-GGA.

a b c (Å): 6.391 6.391 7.174
angles (deg): 114.46 114.46 42.72
Fractional coordinates of all 12 atoms:
Zn1 0.000 0.000 0.000
Zn2 0.261 0.261 0.750
Zn3 0.328 0.328 0.153
Zn4 0.420 0.420 0.580
Zn5 0.580 0.580 0.420
Zn6 0.672 0.672 0.847
Zn7 0.739 0.739 0.250
Cu1 0.041 0.041 0.688
Cu2 0.185 0.185 0.360
Cu3 0.815 0.815 0.640
Cu4 0.959 0.959 0.312
Pt1 0.500 0.500 0.000

Summary:
Formation energy: 0.1 eV per formula unit
DOS at the Fermi energy: 3.50 states/eV/f.u.

=====

Here is crystalline CrAgSb2 at its relaxed geometry from Alexandria via LeMat-Bulk. Energies are from PBE-GGA.

a b c (Å): 5.043 5.043 5.043
angles (deg): 60.00 60.00 60.00
Fractional coordinates of all 4 atoms:
Cr1 0.000 0.000 0.000
Ag1 0.250 0.250 0.250
Sb1 0.500 0.500 0.500
Sb2 0.750 0.750 0.750

Summary:
E above lowest polymorph: 0.2601 eV/atom
Formation energy from raw total energies: 1.86 eV/f.u.
DOS at the Fermi energy: 2.18 states/eV/f.u.

=====

Here is crystalline Pm3Pr3Er4 at its relaxed geometry from Alexandria via LeMat-Bulk. Energies are from PBE-GGA.

a b c (Å): 3.655 9.668 9.668
angles (deg): 90.01 90.00 90.00
Fractional coordinates of all 10 atoms:
Pm1 0.000 0.000 0.000
Pm2 0.000 0.150 0.499
Pm3 0.000 0.499 0.150
Pr1 0.000 0.650 0.650
Pr2 0.500 0.323 0.825
Pr3 0.500 0.825 0.323
Er1 0.500 0.203 0.203
Er2 0.500 0.446 0.446
Er3 0.500 0.704 0.948
Er4 0.500 0.948 0.704

Summary:
Formation energy: 0.9 eV per formula unit
DOS at the Fermi energy: 9.78 states/eV/f.u.

=====

Here is crystalline Ba2ZnHgPt at its relaxed geometry from Alexandria via LeMat-Bulk. Energies are from PBE-GGA.

a b c (Å): 8.415 4.754 8.601
angles (deg): 90.00 111.84 90.00
Fractional coordinates of all 10 atoms:
Ba1 0.071 0.250 0.227
Ba2 0.354 0.750 0.653
Ba3 0.646 0.250 0.347
Ba4 0.929 0.750 0.773
Zn1 0.285 0.250 0.914
Zn2 0.715 0.750 0.086
Hg1 0.349 0.750 0.110
Hg2 0.651 0.250 0.890
Pt1 0.074 0.250 0.608
Pt2 0.926 0.750 0.392

Summary:
E above lowest polymorph: 0.0000 eV/atom
Formation energy: -2.7 eV per formula unit
DOS at the Fermi energy: 2.27 states/eV/f.u.

=====

Here is crystalline Tb2CuP3Ir4 at its relaxed geometry from Alexandria via LeMat-Bulk. Energies are from PBE-GGA.

a b c (Å): 4.070 4.070 9.882
angles (deg): 90.00 90.00 90.00
Fractional coordinates of all 10 atoms:
Tb1 0.000 0.500 0.244
Tb2 0.500 0.000 0.756
Cu1 0.500 0.500 0.000
P1 0.000 0.000 0.000
P2 0.000 0.500 0.638
P3 0.500 0.000 0.362
Ir1 0.000 0.000 0.500
Ir2 0.000 0.500 0.866
Ir3 0.500 0.000 0.134
Ir4 0.500 0.500 0.500

Summary:
Formation energy: -8.8 eV per formula unit
DOS at the Fermi energy: 3.49 states/eV/f.u.

=====

Here is crystalline KSnH4 at its relaxed geometry from Alexandria via LeMat-Bulk. Energies are from PBE-GGA.

a b c (Å): 7.743 7.743 4.752
angles (deg): 103.88 103.88 43.31
Fractional coordinates of all 12 atoms:
K1 0.163 0.163 0.231
K2 0.837 0.837 0.769
Sn1 0.415 0.415 0.201
Sn2 0.585 0.585 0.799
H1 0.111 0.578 0.317
H2 0.293 0.707 0.000
H3 0.332 0.332 0.840
H4 0.422 0.889 0.683
H5 0.578 0.111 0.317
H6 0.668 0.668 0.160
H7 0.707 0.293 0.000
H8 0.889 0.422 0.683

Summary:
Raw total energy: -3.01 eV per atom
DOS at the Fermi energy: 0.30 states/eV/f.u.

=====

Here is crystalline Na2LiIn3Au12 at its relaxed geometry from Alexandria via LeMat-Bulk. Energies are from PBE-GGA.

a b c (Å): 10.507 10.507 10.507
angles (deg): 39.37 39.37 39.37
Fractional coordinates of all 18 atoms:
Na1 0.157 0.157 0.157
Na2 0.843 0.843 0.843
Li1 0.500 0.500 0.500
In1 0.000 0.500 0.500
In2 0.500 0.000 0.500
In3 0.500 0.500 0.000
Au1 0.073 0.073 0.680
Au2 0.073 0.680 0.073
Au3 0.167 0.567 0.567
Au4 0.320 0.927 0.927
Au5 0.433 0.433 0.833
Au6 0.433 0.833 0.433
Au7 0.567 0.167 0.567
Au8 0.567 0.567 0.167
Au9 0.680 0.073 0.073
Au10 0.833 0.433 0.433
Au11 0.927 0.320 0.927
Au12 0.927 0.927 0.320

Summary:
Formation energy: -0.9 eV per formula unit
DOS at the Fermi energy: 3.75 states/eV/f.u.

=====

Here is crystalline Ce2CuSn at its relaxed geometry from Alexandria via LeMat-Bulk. Energies are from PBE-GGA.

a b c (Å): 3.312 3.312 8.678
angles (deg): 90.00 90.00 90.00
Fractional coordinates of all 4 atoms:
Ce1 0.000 0.000 0.225
Ce2 0.000 0.000 0.775
Cu1 0.500 0.500 0.000
Sn1 0.500 0.500 0.500

Summary:
Formation energy: -1.2 eV per formula unit
DOS at the Fermi energy: 7.86 states/eV/f.u.

=====

Here is crystalline Ba2LaI2O2 at its relaxed geometry from Alexandria via LeMat-Bulk. Energies are from PBE-GGA.

a b c (Å): 9.843 9.843 9.843
angles (deg): 152.07 152.07 39.91
Fractional coordinates of all 7 atoms:
Ba1 0.101 0.101 0.000
Ba2 0.899 0.899 0.000
La1 0.500 0.500 0.000
I1 0.317 0.317 0.000
I2 0.683 0.683 0.000
O1 0.000 0.500 0.500
O2 0.500 0.000 0.500

Summary:
Formation energy from raw total energies: -15.34 eV/f.u.
DOS at the Fermi energy: 4.94 states/eV/f.u.